Below is K2TlTc after structural relaxation, with properties calculated at the PBE-GGA level.

Computed properties:
SG = R-3m, No. 166
DOS at the Fermi energy = 1.342 states/eV per atom
Energy relative to the elements = 1.043 eV per atom
Total magnetization = 2.10 μB per cell

a b c (Å): 12.2641 12.2641 12.2641
angles (deg): 15.46 15.46 15.46
Last column: nearest neighbours and their distance in Å.
Element x y z (fractional)
K: 0.9943 0.9943 0.9943  6 K 3.30, 3 Tc 3.41
K: 0.5057 0.5057 0.5057  6 K 3.30, 3 Tc 3.41
Tc: 0.2500 0.2500 0.2500  6 Tc 3.30, 6 K 3.41
Tl: 0.7500 0.7500 0.7500  6 Tl 3.30